Entry 1:
VASP calculation (GGA-PBE) on crystalline PaCdPdO6 at its relaxed geometry.

Unit cell a=4.979 b=4.979 c=10.007 alpha=90.00 beta=90.00 gamma=90.00
Space group P4_2nm (No. 102)
One atom of each set of equivalent atoms:
Pa  0.000  0.000  0.000 x2
Cd  0.000  0.000  0.669 x2
Pd  0.000  0.000  0.334 x2
O  0.180  0.180  0.176 x4
O  0.192  0.192  0.486 x4
O  0.215  0.215  0.844 x4

## Properties
volume = 13.78 Å³/atom
crystal system = tetragonal
total DFT energy (no corrections) = -6.652 eV/atom
raw formation energy = -1613 meV per atom

Entry 2:
VASP calculation (GGA-PBE) on crystalline PmPaCdO6 at its relaxed geometry.

Unit cell a=5.7532 b=5.7532 c=4.8761 alpha=90.00 beta=90.00 gamma=120.00
Space group P312 (No. 149)
One atom of each set of equivalent atoms:
Pm  0.0000  0.0000  0.0000 x1
Pa  0.3333  0.6667  0.5000 x1
Cd  0.6667  0.3333  0.0000 x1
O  0.0191  0.3591  0.2505 x6

## Properties
volume = 15.53 Å³/atom
crystal system = trigonal
total DFT energy (no corrections) = -7.301 eV/atom
raw formation energy = -2311 meV per atom

Entry 3:
VASP calculation (GGA-PBE) on crystalline PrPaCd2O6 at its relaxed geometry.

Unit cell a=5.8804 b=5.8804 c=15.7226 alpha=90.00 beta=90.00 gamma=120.00
Space group R3 (No. 146, hexagonal axes)
One atom of each set of equivalent atoms:
Pr  0.0000  0.0000  0.0000 x3
Pa  0.0000  0.0000  0.4926 x3
Cd  0.0000  0.0000  0.2767 x3
Cd  0.0000  0.0000  0.7837 x3
O  0.0330  0.3414  0.5616 x9
O  0.0487  0.6694  0.0681 x9

## Properties
volume = 15.69 Å³/atom
crystal system = trigonal
total DFT energy (no corrections) = -7.085 eV/atom
raw formation energy = -2500 meV per atom

Entry 4:
VASP calculation (GGA-PBE) on crystalline PaCdPtO6 at its relaxed geometry.

Unit cell a=4.989 b=4.989 c=10.046 alpha=90.00 beta=90.00 gamma=90.00
Space group P4_2nm (No. 102)
One atom of each set of equivalent atoms:
Pa  0.000  0.000  0.000 x2
Cd  0.000  0.000  0.670 x2
Pt  0.000  0.000  0.335 x2
O  0.180  0.180  0.178 x4
O  0.192  0.192  0.484 x4
O  0.218  0.218  0.845 x4

## Properties
volume = 13.89 Å³/atom
crystal system = tetragonal
total DFT energy (no corrections) = -6.850 eV/atom
raw formation energy = -1716 meV per atom

Entry 5:
VASP calculation (GGA-PBE) on crystalline Pa2CdPtO8 at its relaxed geometry.

Unit cell a=4.882 b=7.142 c=4.888 alpha=90.00 beta=90.01 gamma=90.00
Space group P2/m (No. 10)
One atom of each set of equivalent atoms:
Pa  0.000  0.248  0.000 x2
Cd  0.500  0.500  0.500 x1
Pt  0.500  0.000  0.500 x1
O  0.181  0.500  0.183 x2
O  0.203  0.000  0.204 x2
O  0.307  0.217  0.694 x4

## Properties
volume = 14.20 Å³/atom
crystal system = monoclinic
total DFT energy (no corrections) = -7.812 eV/atom
raw formation energy = -2344 meV per atom

Entry 6:
VASP calculation (GGA-PBE) on crystalline PuPa2CdO8 at its relaxed geometry.

Unit cell a=5.420 b=5.420 c=10.799 alpha=90.00 beta=90.00 gamma=90.00
Space group I-4m2 (No. 119)
One atom of each set of equivalent atoms:
Pu  0.000  0.000  0.000 x2
Pa  0.000  0.000  0.500 x2
Pa  0.000  0.500  0.750 x2
Cd  0.000  0.500  0.250 x2
O  0.237  0.257  0.622 x16

## Properties
volume = 13.22 Å³/atom
crystal system = tetragonal
total DFT energy (no corrections) = -9.205 eV/atom
raw formation energy = -3046 meV per atom

Entry 7:
VASP calculation (GGA-PBE) on crystalline PuPaCd2O8 at its relaxed geometry.

Unit cell a=7.006 b=7.240 c=7.055 alpha=90.00 beta=90.00 gamma=90.00
Space group Cmmm (No. 65)
One atom of each set of equivalent atoms:
Pu  0.000  0.000  0.000 x2
Pa  0.000  0.000  0.500 x2
Cd  0.000  0.500  0.251 x4
O  0.000  0.177  0.230 x8
O  0.210  0.500  0.500 x4
O  0.223  0.500  0.000 x4

## Properties
volume = 14.91 Å³/atom
crystal system = orthorhombic
total DFT energy (no corrections) = -7.694 eV/atom
raw formation energy = -2250 meV per atom

Entry 8:
VASP calculation (GGA-PBE) on crystalline RbPa3Cd4O12 at its relaxed geometry.

Unit cell a=12.5276 b=12.5276 c=8.1147 alpha=90.00 beta=90.00 gamma=120.00
Space group R32 (No. 155, hexagonal axes)
One atom of each set of equivalent atoms:
Rb  0.0000  0.0000  0.0000 x3
Pa  0.0000  0.5549  0.0000 x9
Cd  0.0000  0.0000  0.5000 x3
Cd  0.0000  0.4455  0.5000 x9
O  0.0000  0.6174  0.5000 x9
O  0.0000  0.8309  0.5000 x9
O  0.0683  0.2406  0.1801 x18

## Properties
volume = 18.38 Å³/atom
crystal system = trigonal
total DFT energy (no corrections) = -6.997 eV/atom
raw formation energy = -2366 meV per atom

Entry 9:
VASP calculation (GGA-PBE) on crystalline Rb2PaCd2O6 at its relaxed geometry.

Unit cell a=6.5464 b=6.5464 c=18.3601 alpha=90.00 beta=90.00 gamma=120.00
Space group R-3m (No. 166, hexagonal axes)
One atom of each set of equivalent atoms:
Rb  0.0000  0.0000  0.2071 x6
Pa  0.0000  0.0000  0.0000 x3
Cd  0.0000  0.0000  0.4095 x6
O  0.0351  0.5175  0.7405 x18

## Properties
volume = 20.65 Å³/atom
crystal system = trigonal
total DFT energy (no corrections) = -5.722 eV/atom
raw formation energy = -1812 meV per atom

Entry 10:
VASP calculation (GGA-PBE) on crystalline Rb4Pa3CdO12 at its relaxed geometry.

Unit cell a=8.824 b=8.824 c=8.824 alpha=90.00 beta=90.00 gamma=90.00
Space group Im-3m (No. 229)
One atom of each set of equivalent atoms:
Rb  0.250  0.250  0.250 x8
Pa  0.000  0.000  0.500 x6
Cd  0.000  0.000  0.000 x2
O  0.000  0.000  0.267 x12
O  0.000  0.250  0.500 x12

## Properties
volume = 17.18 Å³/atom
crystal system = cubic
total DFT energy (no corrections) = -7.096 eV/atom
raw formation energy = -2457 meV per atom

Entry 11:
VASP calculation (GGA-PBE) on crystalline Rb3PaCd2O6 at its relaxed geometry.

Unit cell a=6.5796 b=6.5796 c=7.4509 alpha=90.00 beta=90.00 gamma=120.00
Space group P-3m1 (No. 164)
One atom of each set of equivalent atoms:
Rb  0.0000  0.0000  0.0000 x1
Rb  0.3333  0.6667  0.7166 x2
Pa  0.0000  0.0000  0.5000 x1
Cd  0.3333  0.6667  0.2802 x2
O  0.1506  0.3012  0.3173 x6

## Properties
volume = 23.28 Å³/atom
crystal system = trigonal
total DFT energy (no corrections) = -5.512 eV/atom
raw formation energy = -1848 meV per atom

Entry 12:
VASP calculation (GGA-PBE) on crystalline Rb2PaCdO4 at its relaxed geometry.

Unit cell a=6.992 b=3.585 c=7.131 alpha=90.00 beta=115.62 gamma=90.00
Space group P2/m (No. 10)
One atom of each set of equivalent atoms:
Rb  0.000  0.000  0.000 x1
Rb  0.500  0.500  0.000 x1
Pa  0.000  0.500  0.500 x1
Cd  0.500  0.000  0.500 x1
O  0.172  0.000  0.700 x2
O  0.209  0.500  0.356 x2

## Properties
volume = 20.15 Å³/atom
crystal system = monoclinic
total DFT energy (no corrections) = -6.119 eV/atom
raw formation energy = -2096 meV per atom

Repeat the ninth record exactly.
VASP calculation (GGA-PBE) on crystalline Rb2PaCd2O6 at its relaxed geometry.

Unit cell a=6.5464 b=6.5464 c=18.3601 alpha=90.00 beta=90.00 gamma=120.00
Space group R-3m (No. 166, hexagonal axes)
One atom of each set of equivalent atoms:
Rb  0.0000  0.0000  0.2071 x6
Pa  0.0000  0.0000  0.0000 x3
Cd  0.0000  0.0000  0.4095 x6
O  0.0351  0.5175  0.7405 x18

## Properties
volume = 20.65 Å³/atom
crystal system = trigonal
total DFT energy (no corrections) = -5.722 eV/atom
raw formation energy = -1812 meV per atom